No. 1
Entry from Alexandria: a geometry-optimized SrGaTc2Sn structure (GGA-PBE).

Summary:
total DFT energy (no corrections) = -5.052 eV per atom

Lattice parameters (Å, degrees): 4.840 5.162 4.840 90.00 90.00 90.00
Element x y z (fractional)
Tc 0.500 0.000 0.000
Sn 0.000 0.500 0.000
Ga 0.000 0.000 0.000
Tc 0.000 0.000 0.500
Sr 0.500 0.500 0.500

=====

No. 2
Entry from Alexandria: a geometry-optimized GaBRu2W structure (GGA-PBE).

Summary:
total DFT energy (no corrections) = -6.043 eV per atom

Lattice parameters (Å, degrees): 4.692 4.948 4.692 90.00 90.00 90.00
Element x y z (fractional)
Ga 0.000 0.500 0.000
B 0.500 0.500 0.500
Ru 0.500 0.000 0.000
Ru 0.000 0.000 0.500
W 0.000 0.000 0.000

=====

No. 3
Entry from Alexandria: a geometry-optimized RuC structure (GGA-PBE).

Summary:
total DFT energy (no corrections) = -8.581 eV per atom

Lattice parameters (Å, degrees): 2.925 2.925 5.413 90.00 90.00 120.00
Element x y z (fractional)
C 0.667 0.333 0.750
Ru 0.000 0.000 0.500
C 0.333 0.667 0.250
Ru 0.000 0.000 0.000

=====

No. 4
Entry from Alexandria: a geometry-optimized In2Ni7Bi2Pt structure (GGA-PBE).

Summary:
total DFT energy (no corrections) = -4.902 eV per atom

Lattice parameters (Å, degrees): 3.697 3.697 14.948 85.43 85.43 89.53
Element x y z (fractional)
Bi 0.865 0.865 0.391
Ni 0.038 0.538 0.880
In 0.580 0.580 0.753
Ni 0.538 0.038 0.880
Bi 0.135 0.135 0.609
Ni 0.500 0.500 0.000
In 0.420 0.420 0.247
Ni 0.962 0.462 0.120
Ni 0.652 0.652 0.562
Ni 0.348 0.348 0.438
Pt 0.000 0.000 0.000
Ni 0.462 0.962 0.120

=====

No. 5
Entry from Alexandria: a geometry-optimized Zr2TaAs structure (GGA-PBE).

Summary:
total DFT energy (no corrections) = -8.730 eV per atom

Lattice parameters (Å, degrees): 3.524 3.524 6.282 90.00 90.00 90.00
Element x y z (fractional)
Zr 0.000 0.000 0.990
As 0.000 0.000 0.513
Ta 0.500 0.500 0.725
Zr 0.500 0.500 0.273

=====

No. 6
Entry from Alexandria: a geometry-optimized MnTcBr2 structure (GGA-PBE).

Summary:
total DFT energy (no corrections) = -5.539 eV per atom
raw formation energy = 17 kJ per mole of atoms

Lattice parameters (Å, degrees): 7.884 7.884 7.884 148.85 156.25 39.55
Element x y z (fractional)
Tc 0.250 0.750 0.500
Br 0.886 0.886 0.000
Mn 0.750 0.250 0.500
Br 0.614 0.614 0.000

=====

No. 7
Entry from Alexandria: a geometry-optimized GaReAu2 structure (GGA-PBE).

Summary:
total DFT energy (no corrections) = -4.918 eV per atom

Lattice parameters (Å, degrees): 3.772 3.772 10.352 79.50 79.50 90.00
Element x y z (fractional)
Au 0.875 0.878 0.750
Re 0.000 0.000 0.000
Ga 0.500 0.500 0.000
Ga 0.250 0.750 0.500
Au 0.122 0.625 0.250
Au 0.375 0.372 0.750
Re 0.750 0.250 0.500
Au 0.628 0.125 0.250

=====

No. 8
Entry from Alexandria: a geometry-optimized Ba2SrAu structure (GGA-PBE).

Summary:
total DFT energy (no corrections) = -2.288 eV per atom

Lattice parameters (Å, degrees): 7.222 7.222 7.222 137.98 137.98 60.93
Element x y z (fractional)
Ba 0.250 0.750 0.500
Sr 0.500 0.500 0.000
Au 0.750 0.250 0.500
Ba 0.000 0.000 0.000

=====

total DFT energy (no corrections) of number 3 (RuC)?
-8.581 eV per atom

=====

The lowest total DFT energy (no corrections) belongs to which entry?
Zr2TaAs

=====

Which value of total DFT energy (no corrections) does entry 2 give?
-6.043 eV per atom

=====

total DFT energy (no corrections) of number 7 (GaReAu2)?
-4.918 eV per atom